Computed, not measured: YCd5Hg5 after structural relaxation at the GGA-PBE level of DFT.

Cell: 6.7274 6.7027 7.0291 Å, 112.19 82.43 109.49°
Atoms (fractional coordinates):
Y 0.0000 0.0000 0.0000
Cd 0.6904 0.1885 0.4277
Cd 0.3861 0.3148 0.8138
Cd 0.0000 0.0000 0.5000
Cd 0.6139 0.6852 0.1862
Cd 0.3096 0.8115 0.5723
Hg 0.9753 0.5046 0.2119
Hg 0.6805 0.6673 0.6565
Hg 0.5000 0.0000 0.0000
Hg 0.3195 0.3327 0.3435
Hg 0.0247 0.4954 0.7881

Output
* total DFT energy (no corrections): -1.216 eV per atom
* mass density: 9.9 g/cm3